Record 1
Density functional theory data (PBE) for a relaxed USn2Br8 crystal.

Results
**Spin magnetization**: 0.182 μB/atom
**N(E_F)**: 2.9 states/eV per cell
**Final energy**: -43.3 eV/cell

Cell: 8.1680 8.1680 9.3115 Å, 98.79 98.79 54.24°
Last column: nearest neighbours and their distance in Å.
Atoms (fractional coordinates):
U 0.0000 0.0000 0.0000  6 Br 2.72-2.84
Sn 0.1443 0.1443 0.4059  3 Br 2.61-2.85
Sn 0.8557 0.8557 0.5941  3 Br 2.61-2.85
Br 0.1075 0.1075 0.7884  1 U 2.72
Br 0.1306 0.6307 0.8300  1 U 2.84, 1 Sn 2.85
Br 0.3261 0.3261 0.4354  1 Sn 2.61
Br 0.3693 0.8694 0.1700  1 U 2.84, 1 Sn 2.85
Br 0.6307 0.1306 0.8300  1 U 2.84, 1 Sn 2.85
Br 0.6739 0.6739 0.5646  1 Sn 2.61
Br 0.8694 0.3693 0.1700  1 U 2.84, 1 Sn 2.85
Br 0.8925 0.8925 0.2116  1 U 2.72

---

Record 2
Density functional theory data (PBE) for a relaxed VSnBr3 crystal.

Results
**Spin magnetization**: 0.776 μB/atom
**N(E_F)**: 3.2 states/eV per cell
**Final energy**: -19.6 eV/cell

Cell: 5.1951 5.1951 5.1951 Å, 90.00 90.00 90.00°
Last column: nearest neighbours and their distance in Å.
Atoms (fractional coordinates):
V 0.0000 0.0000 0.0000  6 Br 2.60
Sn 0.5000 0.5000 0.5000  12 Br 3.67
Br 0.0000 0.0000 0.5000  2 V 2.60
Br 0.0000 0.5000 0.0000  2 V 2.60
Br 0.5000 0.0000 0.0000  2 V 2.60

---

Record 3
Density functional theory data (PBE) for a relaxed V3SnBr crystal.

Results
**Spin magnetization**: 1.999 μB/atom
**N(E_F)**: 14.9 states/eV per cell
**Final energy**: -26.6 eV/cell

Cell: 5.2205 5.2205 5.2205 Å, 90.00 90.00 90.00°
Last column: nearest neighbours and their distance in Å.
Atoms (fractional coordinates):
V 0.0000 0.0000 0.5000  2 Sn 2.61
V 0.0000 0.5000 0.0000  2 Sn 2.61
V 0.5000 0.0000 0.0000  2 Sn 2.61
Sn 0.0000 0.0000 0.0000  6 V 2.61
Br 0.5000 0.5000 0.5000  12 V 3.69

---

Record 4
Density functional theory data (PBE) for a relaxed VSn3Br crystal.

Results
**Spin magnetization**: 0.752 μB/atom
**N(E_F)**: 8.6 states/eV per cell
**Final energy**: -17.5 eV/cell

Cell: 5.5027 5.5027 5.5027 Å, 90.00 90.00 90.00°
Last column: nearest neighbours and their distance in Å.
Atoms (fractional coordinates):
V 0.0000 0.0000 0.0000  12 Sn 3.89
Sn 0.0000 0.5000 0.5000  2 Br 2.75
Sn 0.5000 0.0000 0.5000  2 Br 2.75
Sn 0.5000 0.5000 0.0000  2 Br 2.75
Br 0.5000 0.5000 0.5000  6 Sn 2.75

---

Record 5
Density functional theory data (PBE) for a relaxed V2SnBr crystal.

Results
**Spin magnetization**: 0.347 μB/atom
**N(E_F)**: 6.7 states/eV per cell
**Final energy**: -21.7 eV/cell

Cell: 4.6344 4.6344 4.6344 Å, 60.00 60.00 60.00°
Last column: nearest neighbours and their distance in Å.
Atoms (fractional coordinates):
V 0.2500 0.2500 0.2500  4 Sn 2.84, 4 Br 2.84
V 0.7500 0.7500 0.7500  4 Br 2.84, 4 Sn 2.84
Sn 0.0000 0.0000 0.0000  8 V 2.84
Br 0.5000 0.5000 0.5000  8 V 2.84

---

Record 6
Density functional theory data (PBE) for a relaxed VSn3Br crystal.

Results
**Spin magnetization**: 0.100 μB/atom
**N(E_F)**: 5.5 states/eV per cell
**Final energy**: -22.4 eV/cell

Cell: 5.2118 5.2118 5.2118 Å, 90.00 90.00 90.00°
Last column: nearest neighbours and their distance in Å.
Atoms (fractional coordinates):
V 0.0000 0.0000 0.0000  6 Sn 2.61
Sn 0.0000 0.0000 0.5000  2 V 2.61
Sn 0.0000 0.5000 0.0000  2 V 2.61
Sn 0.5000 0.0000 0.0000  2 V 2.61
Br 0.5000 0.5000 0.5000  12 Sn 3.69

---

Record 7
Density functional theory data (PBE) for a relaxed V2SnBr crystal.

Results
**Spin magnetization**: 1.330 μB/atom
**N(E_F)**: 8.5 states/eV per cell
**Final energy**: -43.0 eV/cell

Cell: 6.0719 6.0719 6.0719 Å, 107.61 107.61 113.26°
Last column: nearest neighbours and their distance in Å.
Atoms (fractional coordinates):
V 0.0857 0.6250 0.9607  2 Br 2.49
V 0.3750 0.3357 0.4607  2 Br 2.49
V 0.6643 0.1250 0.0393  2 Br 2.49
V 0.8750 0.9143 0.5393  2 Br 2.49
Sn 0.2500 0.7500 0.5000  4 V 2.87
Sn 0.5000 0.5000 0.0000  4 V 2.87
Br 0.0000 0.0000 0.0000  4 V 2.49
Br 0.7500 0.2500 0.5000  4 V 2.49

---

Record 8
Density functional theory data (PBE) for a relaxed VSnBr4 crystal.

Results
**Spin magnetization**: 0.500 μB/atom
**Final energy**: -24.3 eV/cell

Cell: 7.8077 7.8077 7.2801 Å, 112.50 112.50 29.97°
Last column: nearest neighbours and their distance in Å.
Atoms (fractional coordinates):
V 0.0000 0.0000 0.0000  6 Br 2.66-2.69
Sn 0.5000 0.5000 0.5000  6 Br 2.99-3.01
Br 0.1156 0.1156 0.3860  1 V 2.66
Br 0.3943 0.3943 0.0519  2 V 2.69, 1 Sn 3.01
Br 0.6057 0.6057 0.9481  2 V 2.69, 1 Sn 3.01
Br 0.8844 0.8844 0.6140  1 V 2.66

---

Record 9
Density functional theory data (PBE) for a relaxed V3SnBr crystal.

Results
**Spin magnetization**: 0.000 μB/atom
**N(E_F)**: 6.0 states/eV per cell
**Final energy**: -28.8 eV/cell

Cell: 4.4977 4.4977 4.4977 Å, 90.00 90.00 90.00°
Last column: nearest neighbours and their distance in Å.
Atoms (fractional coordinates):
V 0.0000 0.0000 0.5000  2 Br 2.25
V 0.0000 0.5000 0.0000  2 Br 2.25
V 0.5000 0.0000 0.0000  2 Br 2.25
Sn 0.5000 0.5000 0.5000  12 V 3.18
Br 0.0000 0.0000 0.0000  6 V 2.25

---

Record 10
Density functional theory data (PBE) for a relaxed V2SnBr2 crystal.

Results
**Spin magnetization**: 1.327 μB/atom
**N(E_F)**: 13.2 states/eV per cell
**Final energy**: -46.5 eV/cell

Cell: 8.4934 8.4934 3.2452 Å, 90.00 90.00 90.00°
Last column: nearest neighbours and their distance in Å.
Atoms (fractional coordinates):
V 0.2037 0.2963 0.0000  2 Br 2.57
V 0.2963 0.7963 0.0000  2 Br 2.57
V 0.7037 0.2037 0.0000  2 Br 2.57
V 0.7963 0.7037 0.0000  2 Br 2.57
Sn 0.0000 0.0000 0.5000  2 Sn 3.25, 4 Br 3.33, 8 V 3.46
Sn 0.5000 0.5000 0.5000  2 Sn 3.25, 4 Br 3.33, 8 V 3.46
Br 0.1301 0.6301 0.5000  2 V 2.57
Br 0.3699 0.1301 0.5000  2 V 2.57
Br 0.6301 0.8699 0.5000  2 V 2.57
Br 0.8699 0.3699 0.5000  2 V 2.57

---

Record 11
Density functional theory data (PBE) for a relaxed V2SnBr2 crystal.

Results
**Spin magnetization**: 0.000 μB/atom
**N(E_F)**: 3.8 states/eV per cell
**Final energy**: -25.1 eV/cell

Cell: 10.3784 10.3784 10.3784 Å, 160.61 160.61 27.55°
Last column: nearest neighbours and their distance in Å.
Atoms (fractional coordinates):
V 0.2500 0.7500 0.5000  4 V 2.47, 4 Br 2.58
V 0.7500 0.2500 0.5000  4 V 2.47, 4 Br 2.58
Sn 0.0000 0.0000 0.0000  4 Sn 3.49
Br 0.3438 0.3438 0.0000  4 V 2.58
Br 0.6562 0.6562 0.0000  4 V 2.58

---

Record 12
Density functional theory data (PBE) for a relaxed SnW3Br crystal.

Results
**Spin magnetization**: 0.000 μB/atom
**N(E_F)**: 5.0 states/eV per cell
**Final energy**: -34.0 eV/cell

Cell: 4.6460 4.6460 4.6460 Å, 90.00 90.00 90.00°
Last column: nearest neighbours and their distance in Å.
Atoms (fractional coordinates):
Sn 0.0000 0.0000 0.0000  12 W 3.29
W 0.0000 0.5000 0.5000  2 Br 2.32
W 0.5000 0.0000 0.5000  2 Br 2.32
W 0.5000 0.5000 0.0000  2 Br 2.32
Br 0.5000 0.5000 0.5000  6 W 2.32